[1]
CoBiSO2 (PBE with a Hubbard U, optimized geometry); SG = P4/mmm (123); calculated volume = 15.77 A^3/atom; uncorrected energy = -21.11 eV per formula unit; total moment = 1.99 Bohr magnetons per cell; N(E_F) = 0.404 states/eV/atom
1.0
3.779 0.000 0.000
0.000 3.779 0.000
0.000 0.000 5.520
Co Bi S O
1 1 1 2
direct
0.000 0.000 0.000
0.500 0.500 0.000
0.500 0.500 0.500
0.000 0.500 0.500
0.500 0.000 0.500

[2]
CoBi6S2O16 (PBE with a Hubbard U, optimized geometry); SG = C2 (5); calculated volume = 15.21 A^3/atom; uncorrected energy = -149.47 eV per formula unit; total moment = 3.00 Bohr magnetons per cell; N(E_F) = 0.000 states/eV/atom
1.0
7.823 -2.856 0.000
7.823 2.856 0.000
-7.558 0.000 8.513
Co Bi S O
1 6 2 16
direct
0.000 0.000 0.000
0.005 0.953 0.308
0.047 0.995 0.692
0.287 0.393 0.008
0.369 0.323 0.351
0.607 0.713 0.992
0.677 0.631 0.649
0.432 0.256 0.711
0.744 0.568 0.289
0.026 0.813 0.064
0.126 0.545 0.185
0.187 0.974 0.936
0.224 0.479 0.794
0.278 0.722 0.500
0.347 0.106 0.560
0.455 0.874 0.815
0.504 0.355 0.693
0.521 0.776 0.206
0.612 0.046 0.178
0.645 0.496 0.307
0.668 0.075 0.815
0.759 0.241 0.500
0.894 0.653 0.440
0.925 0.332 0.185
0.954 0.388 0.822